1.
Compound: V2WS
Source: Alexandria via LeMat-Bulk
Functional: PBE
Structure: optimized geometry

Cell and atoms, written as POSCAR:
```
V2WS
1.0
3.160 0.000 0.000
0.000 3.160 0.000
0.000 0.000 5.489
V W S
2 1 1
direct
0.000 0.000 0.233
0.000 0.000 0.767
0.500 0.500 0.500
0.500 0.500 0.000
```

Output
Formation energy without anion corrections = -110 meV per atom
M_tot = 0.00 μB/f.u.
Symmetry = P4/mmm (123)
Calculated density = 9.63 g/cm3
N(E_F) = 1.059 states/eV/atom

=====

2.
Compound: V3WS
Source: Alexandria via LeMat-Bulk
Functional: PBE
Structure: optimized geometry

Cell and atoms, written as POSCAR:
```
V3WS
1.0
4.616 0.000 0.000
0.000 4.616 0.000
0.000 0.000 4.616
V W S
3 1 1
direct
0.000 0.000 0.500
0.000 0.500 0.000
0.500 0.000 0.000
0.000 0.000 0.000
0.500 0.500 0.500
```

Output
Formation energy without anion corrections = 1519 meV per atom
M_tot = 0.00 μB/f.u.
Symmetry = Pm-3m (221)
Calculated density = 6.23 g/cm3
Energy relative to the lowest polymorph listed for this composition = 1532 meV per atom
N(E_F) = 0.835 states/eV/atom

=====

3.
Compound: VWS4
Source: Alexandria via LeMat-Bulk
Functional: PBE
Structure: optimized geometry

Cell and atoms, written as POSCAR:
```
VWS4
1.0
6.712 -1.600 0.000
6.712 1.600 0.000
-0.917 0.000 5.468
V W S
1 1 4
direct
0.000 0.000 0.000
0.500 0.500 0.500
0.116 0.116 0.373
0.386 0.386 0.115
0.614 0.614 0.885
0.884 0.884 0.627
```

Output
Formation energy without anion corrections = -708 meV per atom
M_tot = 0.00 μB/f.u.
Symmetry = C2/m (12)
Calculated density = 5.13 g/cm3
Energy relative to the lowest polymorph listed for this composition = 0 meV per atom
N(E_F) = 0.530 states/eV/atom